5
Lattice="-0.449 0.466 -4.244 1.794 -3.852 -0.613 -3.874 -1.838 0.207" Properties=species:S:1:pos:R:3 comment="Co3BAs | Alexandria | PBE-GGA | optimized geometry" sg="Pm-3m, No. 221" delta_e_f_ev_per_atom=1.489 dos_ef_per_ev_cell=9.79 total_magnetization_mub_per_cell=4.16 e_tot_ev_per_cell=-25.20 pbc="T T T"
B -1.264 -2.612 -2.325
Co 0.897 -1.926 -0.306
Co -0.224 0.233 -2.122
Co -1.937 -0.919 0.104
As 0.000 0.000 0.000